# 1
## TbDy2ZrP4 (PBE-GGA)

Data for an optimized crystal structure of TbDy2ZrP4.

## Properties
Formation energy from the elements, eV per formula unit: -12.40

CIF file:
```
data_TbDy2ZrP4
_symmetry_space_group_name_H-M 'P 1 2/m 1'
_symmetry_Int_Tables_number 10
_symmetry_space_group_name_Hall '-P 2y'
_cell_length_a 6.8155
_cell_length_b 3.9319
_cell_length_c 6.8175
_cell_angle_alpha 90.00
_cell_angle_beta 109.27
_cell_angle_gamma 90.00
loop_
_atom_site_label
_atom_site_type_symbol
_atom_site_fract_x
_atom_site_fract_y
_atom_site_fract_z
_atom_site_occupancy
Tb1 Tb 0.0000 0.0000 0.0000 1
Dy1 Dy 0.5000 0.0000 0.5000 1
Dy2 Dy 0.5000 0.5000 0.0000 1
Zr1 Zr 0.0000 0.5000 0.5000 1
P1 P 0.2399 0.0000 0.7390 1
P2 P 0.2450 0.5000 0.2568 1
```

***

# 2
## DyTcP (PBE-GGA)

Data for an optimized crystal structure of DyTcP.

## Properties
Formation energy from the elements, eV per formula unit: -1.47
Distance to the lowest polymorph of the same formula, meV per atom: 173

CIF file:
```
data_DyTcP
_symmetry_space_group_name_H-M 'C 1 2/m 1'
_symmetry_Int_Tables_number 12
_symmetry_space_group_name_Hall '-C 2y'
_cell_length_a 9.1035
_cell_length_b 3.9439
_cell_length_c 7.9226
_cell_angle_alpha 90.00
_cell_angle_beta 112.25
_cell_angle_gamma 90.00
loop_
_atom_site_label
_atom_site_type_symbol
_atom_site_fract_x
_atom_site_fract_y
_atom_site_fract_z
_atom_site_occupancy
Dy1 Dy 0.1994 0.0000 0.1564 1
Tc1 Tc 0.1678 0.0000 0.5071 1
P1 P 0.0722 0.0000 0.7572 1
```

***

# 3
## DyTc3P3 (PBE-GGA)

Data for an optimized crystal structure of DyTc3P3.

## Properties
Formation energy from the elements, eV per formula unit: -4.55
Distance to the lowest polymorph of the same formula, meV per atom: 0

CIF file:
```
data_DyTc3P3
_symmetry_space_group_name_H-M 'R -3'
_symmetry_Int_Tables_number 148
_symmetry_space_group_name_Hall '-R 3'
_cell_length_a 6.6689
_cell_length_b 6.6689
_cell_length_c 19.7843
_cell_angle_alpha 90.00
_cell_angle_beta 90.00
_cell_angle_gamma 120.00
loop_
_atom_site_label
_atom_site_type_symbol
_atom_site_fract_x
_atom_site_fract_y
_atom_site_fract_z
_atom_site_occupancy
Dy1 Dy 0.0000 0.0000 0.1656 1
Tc1 Tc 0.0207 0.7088 0.7121 1
P1 P 0.0156 0.7126 0.5911 1
```

***

# 4
## Dy2Tc12P7 (PBE-GGA)

Data for an optimized crystal structure of Dy2Tc12P7.

## Properties
Formation energy from the elements, eV per formula unit: -12.57

CIF file:
```
data_Dy2Tc12P7
_symmetry_space_group_name_H-M 'P -6'
_symmetry_Int_Tables_number 174
_symmetry_space_group_name_Hall 'P -6'
_cell_length_a 9.5550
_cell_length_b 9.5550
_cell_length_c 3.9532
_cell_angle_alpha 90.00
_cell_angle_beta 90.00
_cell_angle_gamma 120.00
loop_
_atom_site_label
_atom_site_type_symbol
_atom_site_fract_x
_atom_site_fract_y
_atom_site_fract_z
_atom_site_occupancy
Dy1 Dy 0.0000 0.0000 0.0000 1
Dy2 Dy 0.3333 0.6667 0.5000 1
Tc1 Tc 0.0574 0.2913 0.5000 1
Tc2 Tc 0.0994 0.7324 0.0000 1
Tc3 Tc 0.4506 0.2113 0.0000 1
Tc4 Tc 0.5102 0.4502 0.5000 1
P1 P 0.0684 0.4601 0.0000 1
P2 P 0.2613 0.2029 0.5000 1
P3 P 0.6667 0.3333 0.5000 1
```

***

# 5
## DyTcP2 (PBE-GGA)

Data for an optimized crystal structure of DyTcP2.

## Properties
Formation energy from the elements, eV per formula unit: -3.49

CIF file:
```
data_DyTcP2
_symmetry_space_group_name_H-M 'R -3 m'
_symmetry_Int_Tables_number 166
_symmetry_space_group_name_Hall '-R 3 2"'
_cell_length_a 4.0894
_cell_length_b 4.0894
_cell_length_c 14.0675
_cell_angle_alpha 90.00
_cell_angle_beta 90.00
_cell_angle_gamma 120.00
loop_
_atom_site_label
_atom_site_type_symbol
_atom_site_fract_x
_atom_site_fract_y
_atom_site_fract_z
_atom_site_occupancy
Dy1 Dy 0.0000 0.0000 0.0000 1
Tc1 Tc 0.0000 0.0000 0.5000 1
P1 P 0.0000 0.0000 0.2170 1
```

***

# 6
## DyTc6P4 (PBE-GGA)

Data for an optimized crystal structure of DyTc6P4.

## Properties
Formation energy from the elements, eV per formula unit: -2.96

CIF file:
```
data_DyTc6P4
_symmetry_space_group_name_H-M 'I -4 2 m'
_symmetry_Int_Tables_number 121
_symmetry_space_group_name_Hall 'I -4 2'
_cell_length_a 5.8851
_cell_length_b 5.8851
_cell_length_c 10.1871
_cell_angle_alpha 90.00
_cell_angle_beta 90.00
_cell_angle_gamma 90.00
loop_
_atom_site_label
_atom_site_type_symbol
_atom_site_fract_x
_atom_site_fract_y
_atom_site_fract_z
_atom_site_occupancy
Dy1 Dy 0.0000 0.0000 0.0000 1
Tc1 Tc 0.0000 0.5000 0.0000 1
Tc2 Tc 0.1732 0.1732 0.3115 1
P1 P 0.2046 0.2046 0.6112 1
```

***

# 7
## DyTc3P3 (PBE-GGA)

Data for an optimized crystal structure of DyTc3P3.

## Properties
Formation energy from the elements, eV per formula unit: -1.66
Distance to the lowest polymorph of the same formula, meV per atom: 413

CIF file:
```
data_DyTc3P3
_symmetry_space_group_name_H-M 'P m -3 n'
_symmetry_Int_Tables_number 223
_symmetry_space_group_name_Hall '-P 4n 2 3'
_cell_length_a 6.4367
_cell_length_b 6.4367
_cell_length_c 6.4367
_cell_angle_alpha 90.00
_cell_angle_beta 90.00
_cell_angle_gamma 90.00
loop_
_atom_site_label
_atom_site_type_symbol
_atom_site_fract_x
_atom_site_fract_y
_atom_site_fract_z
_atom_site_occupancy
Dy1 Dy 0.0000 0.0000 0.0000 1
Tc1 Tc 0.0000 0.2500 0.5000 1
P1 P 0.0000 0.5000 0.2500 1
```

***

# 8
## DyTcP (PBE-GGA)

Data for an optimized crystal structure of DyTcP.

## Properties
Formation energy from the elements, eV per formula unit: -1.99
Distance to the lowest polymorph of the same formula, meV per atom: 0

CIF file:
```
data_DyTcP
_symmetry_space_group_name_H-M 'P -6 m 2'
_symmetry_Int_Tables_number 187
_symmetry_space_group_name_Hall 'P -6 2'
_cell_length_a 4.0748
_cell_length_b 4.0748
_cell_length_c 3.9910
_cell_angle_alpha 90.00
_cell_angle_beta 90.00
_cell_angle_gamma 120.00
loop_
_atom_site_label
_atom_site_type_symbol
_atom_site_fract_x
_atom_site_fract_y
_atom_site_fract_z
_atom_site_occupancy
Dy1 Dy 0.0000 0.0000 0.0000 1
Tc1 Tc 0.6667 0.3333 0.5000 1
P1 P 0.3333 0.6667 0.5000 1
```

***

# 9
## DyTc4P2 (PBE-GGA)

Data for an optimized crystal structure of DyTc4P2.

## Properties
Formation energy from the elements, eV per formula unit: -4.99

CIF file:
```
data_DyTc4P2
_symmetry_space_group_name_H-M 'C m m m'
_symmetry_Int_Tables_number 65
_symmetry_space_group_name_Hall '-C 2 2'
_cell_length_a 4.0476
_cell_length_b 13.5442
_cell_length_c 4.0084
_cell_angle_alpha 90.00
_cell_angle_beta 90.00
_cell_angle_gamma 90.00
loop_
_atom_site_label
_atom_site_type_symbol
_atom_site_fract_x
_atom_site_fract_y
_atom_site_fract_z
_atom_site_occupancy
Dy1 Dy 0.0000 0.0000 0.0000 1
Tc1 Tc 0.0000 0.1825 0.5000 1
Tc2 Tc 0.0000 0.3095 0.0000 1
P1 P 0.0000 0.4140 0.5000 1
```

***

# 10
## Dy5Te5P (PBE-GGA)

Data for an optimized crystal structure of Dy5Te5P.

## Properties
E_form (uncorrected), kJ per mole of atoms: -138.5

CIF file:
```
data_Dy5Te5P
_symmetry_space_group_name_H-M 'C 1 2/m 1'
_symmetry_Int_Tables_number 12
_symmetry_space_group_name_Hall '-C 2y'
_cell_length_a 13.5277
_cell_length_b 6.0794
_cell_length_c 8.5396
_cell_angle_alpha 90.00
_cell_angle_beta 108.91
_cell_angle_gamma 90.00
loop_
_atom_site_label
_atom_site_type_symbol
_atom_site_fract_x
_atom_site_fract_y
_atom_site_fract_z
_atom_site_occupancy
Dy1 Dy 0.0000 0.0000 0.0000 1
Dy2 Dy 0.1531 0.5000 0.3114 1
Dy3 Dy 0.1554 0.5000 0.8454 1
Te1 Te 0.0000 0.5000 0.5000 1
Te2 Te 0.1621 0.0000 0.8208 1
Te3 Te 0.1717 0.0000 0.3369 1
P1 P 0.0000 0.5000 0.0000 1
```

***

# 11
## Dy6TeP5 (PBE-GGA)

Data for an optimized crystal structure of Dy6TeP5.

## Properties
E_form (uncorrected), kJ per mole of atoms: -153.7

CIF file:
```
data_Dy6TeP5
_symmetry_space_group_name_H-M 'C 1 2/m 1'
_symmetry_Int_Tables_number 12
_symmetry_space_group_name_Hall '-C 2y'
_cell_length_a 7.0517
_cell_length_b 12.1884
_cell_length_c 7.0431
_cell_angle_alpha 90.00
_cell_angle_beta 109.54
_cell_angle_gamma 90.00
loop_
_atom_site_label
_atom_site_type_symbol
_atom_site_fract_x
_atom_site_fract_y
_atom_site_fract_z
_atom_site_occupancy
Dy1 Dy 0.2345 0.0000 0.2594 1
Dy2 Dy 0.2367 0.1763 0.7401 1
Te1 Te 0.0000 0.5000 0.0000 1
P1 P 0.0000 0.0000 0.5000 1
P2 P 0.0000 0.1673 0.0000 1
P3 P 0.0000 0.3384 0.5000 1
```

***

Q: Number 1 is which compound?
A: TbDy2ZrP4